{"formula": "AlSn2WSe", "functional": "PBE", "state": "optimized geometry", "lattice": [[5.174, 0.000, 0.000], [0.000, 4.882, 0.000], [0.000, 0.000, 5.174]], "species": ["Se", "Sn", "Sn", "W", "Al"], "fractional_positions": [[0.500, 0.500, 0.500], [0.000, 0.000, 0.500], [0.500, 0.000, 0.000], [0.000, 0.500, 0.000], [0.000, 0.000, 0.000]], "e_tot_ev_per_atom": -4.4244, "vol_a3_per_cell": 131}


{"formula": "TeHSe3", "functional": "PBE", "state": "optimized geometry", "lattice": [[-3.743, 2.287, -1.038], [0.978, -0.390, -4.383], [-2.314, -3.865, -0.172]], "species": ["H", "Te", "Se", "Se", "Se"], "fractional_positions": [[0.000, 0.000, 0.000], [0.500, 0.500, 0.500], [0.000, 0.500, 0.000], [0.000, 0.000, 0.500], [0.500, 0.000, 0.000]], "e_tot_ev_per_atom": -2.6797, "vol_a3_per_cell": 92, "relative_energy_ev_per_fu": 0.00}


{"formula": "UPaTe2Se", "functional": "PBE", "state": "optimized geometry", "lattice": [[4.031, 0.000, 0.000], [0.000, 5.417, 0.000], [-2.015, -2.708, 7.949]], "species": ["U", "Pa", "Te", "Te", "Se"], "fractional_positions": [[0.465, 0.465, 0.930], [0.630, 0.130, 0.259], [0.273, 0.273, 0.546], [0.974, 0.974, 0.947], [0.642, 0.642, 0.284]], "e_tot_ev_per_atom": -6.7217, "vol_a3_per_cell": 174}


{"formula": "ScNbGe3", "functional": "PBE", "state": "optimized geometry", "lattice": [[-0.267, 4.567, 1.722], [-4.869, -0.370, 0.228], [0.343, -1.703, 4.569]], "species": ["Sc", "Nb", "Ge", "Ge", "Ge"], "fractional_positions": [[0.000, 0.000, 0.000], [0.500, 0.500, 0.500], [0.000, 0.500, 0.000], [0.000, 0.000, 0.500], [0.500, 0.000, 0.000]], "e_tot_ev_per_atom": -5.0395, "e_form_ev_per_atom": 1.01, "vol_a3_per_cell": 117}